Compound: La8Pm2Pb
Source: Alexandria
Functional: PBE
Structure: optimized geometry

abc: 9.7951 9.7951 8.3115
angles: 104.82 104.82 30.00
Sites, in units of the cell vectors:
La 0.0445 0.0445 0.2348
La 0.1357 0.1357 0.6803
La 0.3242 0.3242 0.5895
La 0.4095 0.4095 0.0558
La 0.5905 0.5905 0.9442
La 0.6758 0.6758 0.4105
La 0.8643 0.8643 0.3197
La 0.9555 0.9555 0.7652
Pm 0.2271 0.2271 0.1362
Pm 0.7729 0.7729 0.8638
Pb 0.5000 0.5000 0.5000

DOS(E_F) ... 15.67 states/eV per cell
Symmetry ... C2/m (12)
Calculated total energy ... -53.74 eV/cell
V ... 34.95 Å³/atom
Formation enthalpy at 0 K ... -1.1 eV/f.u.
M_tot ... 0.00 μB/atom

***

Compound: La3PmPb2
Source: Alexandria
Functional: PBE
Structure: optimized geometry

abc: 4.7790 4.7790 9.0426
angles: 90.00 90.00 90.00
Sites, in units of the cell vectors:
La 0.0000 0.0000 0.0000
La 0.0000 0.5000 0.6510
La 0.5000 0.0000 0.3490
Pm 0.5000 0.5000 0.0000
Pb 0.0000 0.5000 0.2787
Pb 0.5000 0.0000 0.7213

DOS(E_F) ... 9.14 states/eV per cell
Symmetry ... P-4m2 (115)
Calculated total energy ... -29.76 eV/cell
V ... 34.42 Å³/atom
Formation enthalpy at 0 K ... -2.8 eV/f.u.
M_tot ... 0.00 μB/atom
E above lowest polymorph ... 0 meV per atom

***

Compound: La2Pm3Pb
Source: Alexandria
Functional: PBE
Structure: optimized geometry

abc: 5.0286 15.9224 4.9348
angles: 90.00 90.00 90.00
Sites, in units of the cell vectors:
La 0.0000 0.1636 0.0000
La 0.0000 0.8364 0.0000
La 0.5000 0.3364 0.0000
La 0.5000 0.6636 0.0000
Pm 0.0000 0.0000 0.5000
Pm 0.0000 0.3413 0.5000
Pm 0.0000 0.6587 0.5000
Pm 0.5000 0.1587 0.5000
Pm 0.5000 0.5000 0.5000
Pm 0.5000 0.8413 0.5000
Pb 0.0000 0.5000 0.0000
Pb 0.5000 0.0000 0.0000

DOS(E_F) ... 16.25 states/eV per cell
Symmetry ... Cmmm (65)
Calculated total energy ... -57.90 eV/cell
V ... 32.93 Å³/atom
Formation enthalpy at 0 K ... -1.1 eV/f.u.
M_tot ... 0.00 μB/atom

***

Compound: La4PmPb3
Source: Alexandria
Functional: PBE
Structure: optimized geometry

abc: 9.6411 9.6411 9.6411
angles: 96.33 96.33 141.21
Sites, in units of the cell vectors:
La 0.0856 0.7795 0.8651
La 0.2205 0.0856 0.3061
La 0.2795 0.5856 0.8651
La 0.4144 0.2795 0.6939
La 0.5856 0.7205 0.3061
La 0.7205 0.4144 0.1349
La 0.7795 0.9144 0.6939
La 0.9144 0.2205 0.1349
Pm 0.2500 0.7500 0.5000
Pm 0.7500 0.2500 0.5000
Pb 0.1586 0.3414 0.5000
Pb 0.2500 0.2500 0.0000
Pb 0.3414 0.8414 0.1828
Pb 0.6586 0.1586 0.8172
Pb 0.7500 0.7500 0.0000
Pb 0.8414 0.6586 0.5000

DOS(E_F) ... 19.37 states/eV per cell
Symmetry ... I4/mcm (140)
Calculated total energy ... -80.16 eV/cell
V ... 33.10 Å³/atom
Formation enthalpy at 0 K ... -4.5 eV/f.u.
M_tot ... 0.18 μB/atom